The following is a PBE calculation of Pr2SmTmSb4 after structural relaxation, from Alexandria via LeMat-Bulk.

Uncorrected formation energy (eV/f.u.): -9.20
D(E_F) (states/eV/atom): 0.130
Size of the total moment (Bohr magnetons per cell): 0.00
SG: P2/m, No. 10

Cell: 7.758 4.487 7.765 Å, 90.00 109.51 90.00°
Fractional positions:
Pr (0.000, 0.000, 0.000)
Pr (0.000, 0.500, 0.500)
Sm (0.500, 0.000, 0.500)
Tm (0.500, 0.500, 0.000)
Sb (0.258, 0.500, 0.249)
Sb (0.261, 0.000, 0.758)
Sb (0.739, 0.000, 0.242)
Sb (0.742, 0.500, 0.751)